Below is crystalline Na2VAgF6 at its relaxed geometry, with properties calculated at the GGA+U level.

Relative energy among the computed polymorphs   204.5 meV per atom
Theoretical density   3.276 Mg/m³
Size of the total moment   8.0 μB/cell

a b c (Å): 8.6459 8.6459 8.6459
angles (deg): 90.00 90.00 90.00
Space group Fm-3m (No. 225)
Inequivalent atoms, fractional coordinates:
1 Na 0.2500 0.2500 0.2500 (multiplicity 8)
2 V 0.0000 0.0000 0.0000 (multiplicity 4)
3 Ag 0.0000 0.0000 0.5000 (multiplicity 4)
4 F 0.0000 0.0000 0.2270 (multiplicity 24)